Compound: Li2SiBr
Source: Alexandria
Functional: GGA-PBE
Structure: optimized geometry

Calculated values
- M_tot (μB/atom) = 0.000
- volume (Å³ per atom) = 19.08
- DFT total energy (eV per atom) = -2.7383
- energy relative to the elements, uncorrected (eV/atom) = -0.0074

Cell lengths 4.761, 4.761, 4.761 Å; angles 60.00, 60.00, 60.00 degrees
Element x y z (fractional)
Li 0.250 0.250 0.250
Li 0.750 0.750 0.750
Si 0.000 0.000 0.000
Br 0.500 0.500 0.500